Entry 1:
Density functional theory data (PBE) for V2SiS after structural relaxation. Values from VASP.

Quantum ESPRESSO input file:
```
&SYSTEM
  ibrav = 0, nat = 8, ntyp = 3
/
ATOMIC_SPECIES
V 50.94 V.upf
Si 28.09 Si.upf
S 32.06 S.upf
CELL_PARAMETERS angstrom
-5.406 1.487 3.683
-3.479 -4.775 -3.179
-3.708 -3.358 2.023
ATOMIC_POSITIONS crystal
V 0.685 0.125 0.250
Si 0.500 0.500 0.000
V 0.065 0.625 0.250
V 0.875 0.935 0.750
Si 0.250 0.750 0.500
V 0.375 0.315 0.750
S 0.000 0.000 0.000
S 0.750 0.250 0.500
```

N(E_F): 2.533 states/eV/f.u.
ΔE to the lowest computed polymorph: 0.64 eV/f.u.
Uncorrected energy: -55.72 eV per cell
E_form (uncorrected): -18 meV per atom



Entry 2:
Density functional theory data (PBE) for SiSe3N after structural relaxation. Values from VASP.

Quantum ESPRESSO input file:
```
&SYSTEM
  ibrav = 0, nat = 5, ntyp = 3
/
ATOMIC_SPECIES
Si 28.09 Si.upf
Se 78.96 Se.upf
N 14.01 N.upf
CELL_PARAMETERS angstrom
-0.153 4.340 0.888
-2.394 -0.828 3.637
3.727 -0.354 2.373
ATOMIC_POSITIONS crystal
Si 0.500 0.500 0.500
Se 0.500 0.000 0.000
N 0.000 0.000 0.000
Se 0.000 0.000 0.500
Se 0.000 0.500 0.000
```

N(E_F): 3.098 states/eV/f.u.
ΔE to the lowest computed polymorph: 0.00 eV/f.u.
Uncorrected energy: -19.29 eV per cell
E_form (uncorrected): 982 meV per atom



Entry 3:
Density functional theory data (PBE) for Be2CoHgPb after structural relaxation. Values from VASP.

Quantum ESPRESSO input file:
```
&SYSTEM
  ibrav = 0, nat = 5, ntyp = 4
/
ATOMIC_SPECIES
Co 58.93 Co.upf
Be 9.01 Be.upf
Pb 207.20 Pb.upf
Hg 200.59 Hg.upf
CELL_PARAMETERS angstrom
4.297 0.000 0.000
0.000 4.976 0.000
0.000 0.000 4.297
ATOMIC_POSITIONS crystal
Co 0.000 0.000 0.000
Be 0.500 0.000 0.000
Pb 0.500 0.500 0.500
Be 0.000 0.000 0.500
Hg 0.000 0.500 0.000
```

N(E_F): 3.184 states/eV/f.u.
Uncorrected energy: -15.60 eV per cell
Energy of formation from the pure elements: 594 meV per atom



Entry 4:
Density functional theory data (PBE) for NdScPt2 after structural relaxation. Values from VASP.

Quantum ESPRESSO input file:
```
&SYSTEM
  ibrav = 0, nat = 4, ntyp = 3
/
ATOMIC_SPECIES
Nd 144.24 Nd.upf
Pt 195.08 Pt.upf
Sc 44.96 Sc.upf
CELL_PARAMETERS angstrom
3.373 0.000 0.000
0.000 3.373 0.000
0.000 0.000 7.216
ATOMIC_POSITIONS crystal
Nd 0.500 0.500 0.500
Pt 0.000 0.000 0.787
Sc 0.500 0.500 0.000
Pt 0.000 0.000 0.213
```

N(E_F): 3.428 states/eV/f.u.
ΔE to the lowest computed polymorph: 0.16 eV/f.u.
Uncorrected energy: -27.63 eV per cell
Energy of formation from the pure elements: -1112 meV per atom



Entry 5:
Density functional theory data (PBE) for PaTe12Pd7 after structural relaxation. Values from VASP.

Quantum ESPRESSO input file:
```
&SYSTEM
  ibrav = 0, nat = 20, ntyp = 3
/
ATOMIC_SPECIES
Te 127.60 Te.upf
Pd 106.42 Pd.upf
Pa 231.04 Pa.upf
CELL_PARAMETERS angstrom
-5.644 -5.438 -3.657
6.968 -4.826 1.719
-3.388 1.877 7.733
ATOMIC_POSITIONS crystal
Te 0.786 0.942 0.289
Te 0.838 0.624 0.549
Pd 0.352 0.125 0.048
Pd 0.048 0.352 0.125
Pd 0.875 0.952 0.648
Pd 0.648 0.875 0.952
Te 0.711 0.214 0.058
Te 0.942 0.289 0.786
Te 0.289 0.786 0.942
Pa 0.000 0.000 0.000
Te 0.549 0.838 0.624
Pd 0.952 0.648 0.875
Te 0.451 0.162 0.376
Te 0.214 0.058 0.711
Te 0.376 0.451 0.162
Te 0.162 0.376 0.451
Pd 0.500 0.500 0.500
Te 0.058 0.711 0.214
Te 0.624 0.549 0.838
Pd 0.125 0.048 0.352
```

N(E_F): 8.447 states/eV/f.u.
Uncorrected energy: -90.65 eV per cell
E_form (uncorrected): -355 meV per atom



Entry 6:
Density functional theory data (PBE) for TcSbOs3 after structural relaxation. Values from VASP.

Quantum ESPRESSO input file:
```
&SYSTEM
  ibrav = 0, nat = 5, ntyp = 3
/
ATOMIC_SPECIES
Tc 98.00 Tc.upf
Os 190.23 Os.upf
Sb 121.76 Sb.upf
CELL_PARAMETERS angstrom
-1.131 3.447 2.991
-3.647 1.170 -2.727
-2.744 -2.976 2.392
ATOMIC_POSITIONS crystal
Tc 0.000 0.000 0.000
Os 0.500 0.000 0.000
Os 0.000 0.500 0.000
Sb 0.500 0.500 0.500
Os 0.000 0.000 0.500
```

N(E_F): 6.722 states/eV/f.u.
ΔE to the lowest computed polymorph: 0.00 eV/f.u.
Uncorrected energy: -38.07 eV per cell
E_form (uncorrected): 2021 meV per atom



Question: Look up the uncorrected energy of the sixth one.
Answer: -38.07 eV per cell



Question: Look up the uncorrected energy of the fourth one.
Answer: -27.63 eV per cell



Question: What is the formula in the first record?
Answer: V2SiS